Compound: KSn3
Source: the Alexandria database
Functional: PBE-GGA
Structure: relaxed

SG ... Pnma (62)
E_form ... -0.100 eV per atom
Total DFT energy (no corrections) ... -13.5 eV per formula unit

abc: 5.5753 7.5595 12.1789
angles: 90.00 90.00 90.00
Last column: nearest neighbours and their distance in Å.
Positions (direct):
Sn  0.2500  0.0280  0.6398  5 Sn 3.01-3.37
Sn  0.2500  0.2650  0.0533  6 Sn 3.08-3.37
Sn  0.2500  0.4263  0.6213  5 Sn 3.01-3.33
Sn  0.2500  0.9263  0.8787  5 Sn 3.01-3.33
K  0.7500  0.7295  0.6602  8 Sn 3.49-3.82
K  0.7500  0.2295  0.8398  8 Sn 3.49-3.82
Sn  0.7500  0.2350  0.5533  6 Sn 3.08-3.37
K  0.2500  0.7705  0.1602  8 Sn 3.49-3.82
Sn  0.2500  0.7650  0.4467  6 Sn 3.08-3.37
Sn  0.7500  0.7350  0.9467  6 Sn 3.08-3.37
K  0.2500  0.2705  0.3398  8 Sn 3.49-3.82
Sn  0.7500  0.4720  0.1398  5 Sn 3.01-3.37
Sn  0.7500  0.5737  0.3787  5 Sn 3.01-3.33
Sn  0.2500  0.5280  0.8602  5 Sn 3.01-3.37
Sn  0.7500  0.9720  0.3602  5 Sn 3.01-3.37
Sn  0.7500  0.0737  0.1213  5 Sn 3.01-3.33